Entry 1:
A geometry-optimized Nb2AlZn2 structure, computed with PBE-GGA.

Cell lengths 6.5244, 6.5244, 3.8334 Å; angles 90.00, 90.00, 90.00 degrees
Last column: nearest neighbours and their distance in Å.
Positions (direct):
Nb 0.1743 0.3257 0.0000  6 Zn 2.64-2.77
Nb 0.3257 0.8257 0.0000  6 Zn 2.64-2.77
Nb 0.6743 0.1743 0.0000  6 Zn 2.64-2.77
Nb 0.8257 0.6743 0.0000  6 Zn 2.64-2.77
Al 0.0000 0.0000 0.5000  4 Zn 2.56
Al 0.5000 0.5000 0.5000  4 Zn 2.56
Zn 0.1287 0.6287 0.5000  1 Zn 2.38, 2 Al 2.56, 2 Nb 2.64
Zn 0.3713 0.1287 0.5000  1 Zn 2.38, 2 Al 2.56, 2 Nb 2.64
Zn 0.6287 0.8713 0.5000  1 Zn 2.38, 2 Al 2.56, 2 Nb 2.64
Zn 0.8713 0.3713 0.5000  1 Zn 2.38, 2 Al 2.56, 2 Nb 2.64

Calculated values
ΔE to the lowest computed polymorph: 162.6 meV per atom
formation energy: -0.067 eV per formula unit
uncorrected energy: -52.99 eV/cell
DOS(E_F): 0.60 states/eV/atom

---

Entry 2:
A geometry-optimized La2Cu2P structure, computed with PBE-GGA.

Cell lengths 7.2058, 7.2058, 4.1815 Å; angles 90.00, 90.00, 90.00 degrees
Last column: nearest neighbours and their distance in Å.
Positions (direct):
La 0.1848 0.3152 0.0000  6 Cu 2.90-3.06
La 0.3152 0.8152 0.0000  6 Cu 2.90-3.06
La 0.6848 0.1848 0.0000  6 Cu 2.90-3.06
La 0.8152 0.6848 0.0000  6 Cu 2.90-3.06
Cu 0.1183 0.6183 0.5000  1 Cu 2.41
Cu 0.3817 0.1183 0.5000  1 Cu 2.41
Cu 0.6183 0.8817 0.5000  1 Cu 2.41
Cu 0.8817 0.3817 0.5000  1 Cu 2.41
P 0.0000 0.0000 0.5000  4 Cu 2.88
P 0.5000 0.5000 0.5000  4 Cu 2.88

Calculated values
ΔE to the lowest computed polymorph: 0.0 meV per atom
formation energy: -2.102 eV per formula unit
uncorrected energy: -51.12 eV/cell
DOS(E_F): 0.79 states/eV/atom